No. 1
SrHfSn2: relaxed, PBE.

Cell and atoms, written as POSCAR:
```
SrHfSn2
1.0
-1.1578 3.1593 1.8696
-3.2963 -1.7576 0.9287
3.0785 -2.5179 6.1614
Sn Sr Hf
2 1 1
direct
0.0000 0.0000 0.2033 Sn
0.0000 0.0000 0.7967 Sn
0.5000 0.5000 0.5000 Sr
0.5000 0.5000 0.0000 Hf
```

Values from the calculation:
Energy above the most stable polymorph in this dataset: 0.00 eV per formula unit
SG: P4/mmm (123)
N(E_F): 3.480 states/eV/f.u.
Uncorrected energy: -5.23 eV/atom

***

No. 2
NdErScIn: relaxed, PBE.

Cell and atoms, written as POSCAR:
```
NdErScIn
1.0
-4.1526 -1.2926 -3.1846
-2.9922 -4.3458 1.1035
-5.0517 0.5887 1.7862
Er Sc Nd In
1 1 1 1
direct
0.2500 0.2500 0.2500 Er
0.5000 0.5000 0.5000 Sc
0.7500 0.7500 0.7500 Nd
0.0000 0.0000 0.0000 In
```

Values from the calculation:
Energy above the most stable polymorph in this dataset: 0.00 eV per formula unit
SG: F-43m (216)
N(E_F): 5.115 states/eV/f.u.
Uncorrected energy: -4.76 eV/atom

***

No. 3
Na4Ac3SbO8: relaxed, PBE.

Cell and atoms, written as POSCAR:
```
Na4Ac3SbO8
1.0
7.4443 0.0000 0.0000
0.0000 7.1337 -0.2176
-3.7221 -3.7224 5.2667
O Na Sb Ac
8 4 1 3
direct
0.2598 0.2789 0.5196 O
0.7539 0.7211 0.9873 O
0.2334 0.7211 0.9873 O
0.7666 0.2789 0.0127 O
0.2461 0.2789 0.0127 O
0.7402 0.7211 0.4804 O
0.7665 0.2788 0.5329 O
0.2335 0.7212 0.4671 O
0.5000 0.0000 0.5000 Na
0.5000 0.0000 0.0000 Na
0.0000 0.0000 0.5000 Na
0.0000 0.0000 0.0000 Na
0.0000 0.5000 0.0000 Sb
0.5000 0.5000 0.0000 Ac
0.0000 0.5000 0.5000 Ac
0.5000 0.5000 0.5000 Ac
```

Values from the calculation:
SG: R-3m (166)
N(E_F): 0.000 states/eV/f.u.
Raw formation energy: -2.20 eV per atom
Uncorrected energy: -6.04 eV/atom

***

No. 4
PdBr2: relaxed, PBE.

Cell and atoms, written as POSCAR:
```
PdBr2
1.0
7.0772 -0.0729 -0.1786
5.5436 4.4001 -0.1786
1.1556 0.3962 6.5302
Pd Br
2 4
direct
0.5000 0.5000 0.5000 Pd
0.5000 0.5000 0.0000 Pd
0.7787 0.4753 0.2098 Br
0.4753 0.7787 0.7098 Br
0.5247 0.2213 0.2902 Br
0.2213 0.5247 0.7902 Br
```

Values from the calculation:
SG: C2/c (15)
Raw formation energy: -0.31 eV per atom
Uncorrected energy: -3.15 eV/atom

***

No. 5
HgBiAsI: relaxed, PBE.

Cell and atoms, written as POSCAR:
```
HgBiAsI
1.0
4.2074 0.0000 0.0000
2.1037 3.7046 -0.2895
2.1037 0.4621 8.2436
I As Bi Hg
1 1 1 1
direct
0.2634 0.4119 0.0613 I
0.6502 0.1532 0.5465 As
0.4077 0.8197 0.3649 Bi
0.8078 0.6033 0.7810 Hg
```

Values from the calculation:
SG: Cm (8)
N(E_F): 1.815 states/eV/f.u.
Raw formation energy: -0.04 eV per atom
Uncorrected energy: -2.64 eV/atom

***

No. 6
MgSiSe: relaxed, PBE.

Cell and atoms, written as POSCAR:
```
MgSiSe
1.0
-1.3785 3.3028 -0.3497
-0.5369 -2.4541 -2.5730
-4.5276 -1.6256 2.4952
Si Mg Se
1 1 1
direct
0.3333 0.6667 0.6503 Si
0.0000 0.0000 0.0030 Mg
0.6667 0.3333 0.3467 Se
```

Values from the calculation:
Energy above the most stable polymorph in this dataset: 1.76 eV per formula unit
SG: P3m1 (156)
N(E_F): 0.563 states/eV/f.u.
Raw formation energy: -0.07 eV per atom
Uncorrected energy: -3.57 eV/atom

***

Per-record theoretical density, g cm⁻³: 7.69, 7.07, 6.21, 4.27, 7.87, 3.59